No. 1
{
  "formula": "Cs12Na3Hg5",
  "functional": "GGA-PBE",
  "state": "relaxed",
  "formation_energy_mev_per_atom": -7,
  "lattice_angstrom": [[-10.049, 10.433, 14.511], [-13.422, -7.478, -13.576], [10.337, -15.467, 8.622]],
  "species": ["Na", "Na", "Na", "Na", "Na", "Na", "Na", "Na", "Na", "Na", "Na", "Na", "Hg", "Hg", "Hg", "Hg", "Hg", "Hg", "Hg", "Hg", "Hg", "Hg", "Hg", "Hg", "Hg", "Hg", "Hg", "Hg", "Hg", "Hg", "Hg", "Hg", "Cs", "Cs", "Cs", "Cs", "Cs", "Cs", "Cs", "Cs", "Cs", "Cs", "Cs", "Cs", "Cs", "Cs", "Cs", "Cs", "Cs", "Cs", "Cs", "Cs", "Cs", "Cs", "Cs", "Cs", "Cs", "Cs", "Cs", "Cs", "Cs", "Cs", "Cs", "Cs", "Cs", "Cs", "Cs", "Cs", "Cs", "Cs", "Cs", "Cs", "Cs", "Cs", "Cs", "Cs", "Cs", "Cs", "Cs", "Cs"],
  "fractional_positions": [[0.750, 0.375, 0.125], [0.875, 0.750, 0.125], [0.375, 0.750, 0.625], [0.250, 0.125, 0.375], [0.875, 0.125, 0.250], [0.375, 0.625, 0.250], [0.625, 0.375, 0.750], [0.125, 0.875, 0.750], [0.750, 0.875, 0.625], [0.625, 0.250, 0.375], [0.125, 0.250, 0.875], [0.250, 0.625, 0.875], [0.125, 0.375, 0.250], [0.000, 0.500, 0.000], [0.000, 0.000, 0.000], [0.375, 0.250, 0.125], [0.500, 0.000, 0.500], [0.500, 0.500, 0.000], [0.125, 0.750, 0.375], [0.750, 0.125, 0.875], [0.750, 0.625, 0.375], [0.375, 0.125, 0.750], [0.625, 0.875, 0.250], [0.500, 0.500, 0.500], [0.500, 0.000, 0.000], [0.000, 0.000, 0.500], [0.250, 0.375, 0.625], [0.250, 0.875, 0.125], [0.000, 0.500, 0.500], [0.875, 0.250, 0.625], [0.625, 0.750, 0.875], [0.875, 0.625, 0.750], [0.713, 0.116, 0.037], [0.324, 0.537, 0.421], [0.963, 0.384, 0.287], [0.537, 0.213, 0.116], [0.596, 0.713, 0.676], [0.963, 0.579, 0.176], [0.324, 0.787, 0.404], [0.079, 0.904, 0.116], [0.579, 0.963, 0.676], [0.713, 0.596, 0.176], [0.787, 0.463, 0.384], [0.824, 0.921, 0.037], [0.116, 0.713, 0.537], [0.384, 0.421, 0.096], [0.096, 0.921, 0.384], [0.404, 0.116, 0.579], [0.096, 0.176, 0.213], [0.463, 0.676, 0.079], [0.824, 0.904, 0.287], [0.116, 0.404, 0.079], [0.384, 0.963, 0.787], [0.579, 0.616, 0.404], [0.921, 0.824, 0.537], [0.787, 0.324, 0.904], [0.421, 0.384, 0.596], [0.079, 0.176, 0.463], [0.213, 0.676, 0.096], [0.176, 0.096, 0.713], [0.616, 0.037, 0.213], [0.884, 0.596, 0.921], [0.537, 0.324, 0.921], [0.596, 0.884, 0.421], [0.904, 0.824, 0.787], [0.904, 0.079, 0.616], [0.884, 0.287, 0.463], [0.176, 0.079, 0.963], [0.616, 0.579, 0.904], [0.421, 0.037, 0.324], [0.287, 0.404, 0.824], [0.213, 0.537, 0.616], [0.921, 0.096, 0.884], [0.676, 0.213, 0.596], [0.463, 0.787, 0.884], [0.037, 0.421, 0.824], [0.404, 0.287, 0.324], [0.037, 0.616, 0.713], [0.676, 0.463, 0.579], [0.287, 0.884, 0.963]]
}

***

No. 2
{
  "formula": "Cs2Na3IO6",
  "functional": "GGA-PBE",
  "state": "relaxed",
  "raw_formation_energy_mev_per_atom": -1186,
  "lattice_angstrom": [[-7.229, 0.327, 0.971], [4.928, -0.581, 5.357], [1.135, 5.318, -2.044]],
  "species": ["Cs", "Cs", "Na", "Na", "Na", "I", "O", "O", "O", "O", "O", "O"],
  "fractional_positions": [[0.323, 0.677, 0.000], [0.677, 0.323, 0.000], [0.109, 0.891, 0.500], [0.891, 0.109, 0.500], [0.500, 0.500, 0.500], [0.000, 0.000, 0.000], [0.924, 0.714, 0.764], [0.809, 0.809, 0.167], [0.076, 0.286, 0.236], [0.714, 0.924, 0.764], [0.191, 0.191, 0.833], [0.286, 0.076, 0.236]]
}

***

No. 3
{
  "formula": "KCe2DyS4",
  "functional": "GGA-PBE",
  "state": "relaxed",
  "raw_formation_energy_mev_per_atom": -1835,
  "lattice_angstrom": [[4.047, 0.000, 0.000], [0.000, 7.091, -0.168], [0.000, 2.469, 6.693]],
  "species": ["K", "Ce", "Ce", "Dy", "S", "S", "S", "S"],
  "fractional_positions": [[0.500, 0.500, 0.000], [0.000, 0.000, 0.000], [0.500, 0.000, 0.500], [0.000, 0.500, 0.500], [0.000, 0.760, 0.729], [0.000, 0.240, 0.271], [0.500, 0.745, 0.265], [0.500, 0.255, 0.735]]
}

***

No. 4
{
  "formula": "Ti2CuBi2",
  "functional": "GGA-PBE",
  "state": "relaxed",
  "de_polymorph_mev_per_atom": 105,
  "formation_energy_mev_per_atom": 180,
  "lattice_angstrom": [[7.598, 0.000, 0.000], [0.000, 7.598, 0.000], [0.000, 0.000, 3.735]],
  "species": ["Bi", "Bi", "Bi", "Bi", "Cu", "Cu", "Ti", "Ti", "Ti", "Ti"],
  "fractional_positions": [[0.338, 0.838, 0.000], [0.838, 0.662, 0.000], [0.662, 0.162, 0.000], [0.162, 0.338, 0.000], [0.000, 0.000, 0.000], [0.500, 0.500, 0.000], [0.134, 0.634, 0.500], [0.634, 0.866, 0.500], [0.866, 0.366, 0.500], [0.366, 0.134, 0.500]]
}

***

No. 5
{
  "formula": "CsPd2CN",
  "functional": "GGA-PBE",
  "state": "relaxed",
  "raw_formation_energy_mev_per_atom": 3305,
  "lattice_angstrom": [[5.339, 0.000, 0.000], [0.000, 4.477, 0.000], [0.000, 0.000, 5.339]],
  "species": ["Cs", "C", "Pd", "Pd", "N"],
  "fractional_positions": [[0.000, 0.000, 0.000], [0.500, 0.500, 0.500], [0.000, 0.000, 0.500], [0.500, 0.000, 0.000], [0.000, 0.500, 0.000]]
}

***

No. 6
{
  "formula": "TbPrDyHo",
  "functional": "GGA-PBE",
  "state": "relaxed",
  "de_polymorph_mev_per_atom": 0,
  "formation_energy_mev_per_atom": 128,
  "lattice_angstrom": [[-4.979, -2.784, 0.295], [-1.631, -2.423, 4.909], [-4.341, 2.219, 2.976]],
  "species": ["Pr", "Tb", "Ho", "Dy"],
  "fractional_positions": [[0.750, 0.750, 0.750], [0.250, 0.250, 0.250], [0.000, 0.000, 0.000], [0.500, 0.500, 0.500]]
}

***

No. 7
{
  "formula": "K2Rb5Cd4",
  "functional": "GGA-PBE",
  "state": "relaxed",
  "de_polymorph_mev_per_atom": 25,
  "formation_energy_mev_per_atom": 45,
  "lattice_angstrom": [[-1.717, 7.670, -1.906], [-7.095, 3.841, 4.691], [1.205, 6.811, 9.166]],
  "species": ["K", "K", "Rb", "Rb", "Rb", "Rb", "Rb", "Cd", "Cd", "Cd", "Cd"],
  "fractional_positions": [[0.244, 0.884, 0.628], [0.756, 0.116, 0.372], [0.144, 0.288, 0.935], [0.856, 0.712, 0.065], [0.000, 0.500, 0.500], [0.633, 0.288, 0.935], [0.367, 0.712, 0.065], [0.408, 0.911, 0.273], [0.592, 0.089, 0.727], [0.763, 0.731, 0.744], [0.237, 0.269, 0.256]]
}